Entry from Alexandria via LeMat-Bulk: a relaxed Nd2Sm3Th crystal (GGA-PBE).

Structure (POSCAR):
```
Nd2Sm3Th
1.0
3.5740 0.0000 0.0000
0.0000 16.4529 0.0000
0.0000 0.0000 7.0833
Sm Th Nd
6 2 4
direct
0.5000 0.8478 0.7461
0.0000 0.6522 0.2461
0.0000 0.3478 0.7539
0.5000 0.5000 0.5000
0.0000 0.0000 0.0000
0.5000 0.1522 0.2539
0.0000 0.0000 0.5000
0.5000 0.5000 0.0000
0.5000 0.1540 0.7487
0.0000 0.3460 0.2487
0.5000 0.8460 0.2513
0.0000 0.6540 0.7513
```

Results
- Symmetry: No. 58
- Energy above the most stable polymorph in this dataset: 23.7 meV per atom
- Formation energy: 0.128 eV per atom
- Energy: -60.68 eV per cell
- Spin magnetization: 0.000 μB per cell
- Crystal system: orthorhombic
- V: 208.3 Å³/f.u.